[1]
The following is a PBE-GGA calculation of a relaxed YbGd3F12 crystal, from Alexandria.

extended XYZ file:
```
16
Lattice="4.5251 0.0000 0.0000 0.0000 7.0235 0.0000 -0.0486 0.0000 6.4928" Properties=species:S:1:pos:R:3 pbc="T T T"
Yb 0.0000 0.0000 0.0000
Gd 0.4648 3.5118 1.7215
Gd 2.1939 3.5118 4.9902
Gd 2.7416 0.0000 3.2698
F 0.5940 0.0000 4.2794
F 0.7333 2.1965 6.2892
F 0.7333 4.8270 6.2892
F 1.8898 2.1917 3.0624
F 1.8898 4.8319 3.0624
F 1.9957 0.0000 1.0525
F 2.8730 3.5118 0.7407
F 3.0167 1.3041 5.2149
F 3.0167 5.7194 5.2149
F 4.1460 1.3029 1.9016
F 4.1460 5.7206 1.9016
F 4.2937 3.5118 3.9539
```

Calculated volume = 206.4 Å³/cell
Total moment = 19.87 μB per formula unit
Space group = Pm (6)
E_form (uncorrected) = -62.6 eV/f.u.
Theoretical density = 7023 kg/m³


[2]
The following is a PBE-GGA calculation of a relaxed Sm2Tm2Th3 crystal, from Alexandria.

extended XYZ file:
```
7
Lattice="8.7211 -1.7333 0.0000 8.7211 1.7333 0.0000 -3.9132 0.0000 7.5333" Properties=species:S:1:pos:R:3 pbc="T T T"
Sm -0.3736 0.0000 3.0528
Sm 13.9026 0.0000 4.4804
Tm 5.4848 0.0000 1.2068
Tm 8.0442 0.0000 6.3265
Th 2.2251 0.0000 5.3343
Th 8.7211 0.0000 0.0000
Th 11.3039 0.0000 2.1990
```

Calculated volume = 227.8 Å³/cell
Uncorrected energy = -39.6 eV for the cell shown
Total moment = 0.00 μB per formula unit
Space group = C2/m (12)
Theoretical density = 9731 kg/m³


[3]
The following is a PBE-GGA calculation of a relaxed AgGeHO2 crystal, from Alexandria.

extended XYZ file:
```
5
Lattice="4.0686 0.0000 0.0000 0.0000 4.0686 0.0000 0.0000 0.0000 3.3056" Properties=species:S:1:pos:R:3 pbc="T T T"
Ag 0.0000 0.0000 0.0000
Ge 2.0343 2.0343 0.0000
H 0.0000 0.0000 1.6528
O 0.0000 2.0343 1.6528
O 2.0343 0.0000 1.6528
```

Calculated volume = 54.7 Å³/cell
Uncorrected energy = -19.3 eV for the cell shown
Total moment = 0.00 μB per formula unit
Space group = P4/mmm (123)
Theoretical density = 6480 kg/m³


[4]
The following is a PBE-GGA calculation of a relaxed Ac2NpCd crystal, from Alexandria.

extended XYZ file:
```
4
Lattice="1.8182 1.0497 12.5960 -1.8182 1.0497 12.5960 0.0000 -2.0994 12.5960" Properties=species:S:1:pos:R:3 pbc="T T T"
Ac 0.0000 0.0000 3.4941
Ac 0.0000 0.0000 34.2940
Np 0.0000 0.0000 0.0000
Cd 0.0000 0.0000 18.8941
```

Calculated volume = 144.2 Å³/cell
Uncorrected energy = -19.8 eV for the cell shown
Total moment = 5.23 μB per formula unit
Space group = R-3m (166)
Theoretical density = 9249 kg/m³


[5]
The following is a PBE-GGA calculation of a relaxed Dy2Be3GaAu4 crystal, from Alexandria.

extended XYZ file:
```
10
Lattice="4.2940 0.0000 0.0000 0.0000 4.2940 0.0000 0.0000 0.0000 9.4399" Properties=species:S:1:pos:R:3 pbc="T T T"
Dy 0.0000 2.1470 2.3478
Dy 2.1470 0.0000 7.0921
Be 0.0000 0.0000 0.0000
Be 0.0000 2.1470 5.7753
Be 2.1470 0.0000 3.6645
Ga 2.1470 2.1470 0.0000
Au 0.0000 0.0000 4.7199
Au 0.0000 2.1470 8.0735
Au 2.1470 0.0000 1.3664
Au 2.1470 2.1470 4.7199
```

Calculated volume = 174.1 Å³/cell
Uncorrected energy = -41.5 eV for the cell shown
Total moment = 0.00 μB per formula unit
Space group = P-4m2 (115)
Theoretical density = 11540 kg/m³


[6]
The following is a PBE-GGA calculation of a relaxed TbBe4Tc crystal, from Alexandria.

extended XYZ file:
```
6
Lattice="0.0000 3.3344 3.3344 3.3344 0.0000 3.3344 3.3344 3.3344 0.0000" Properties=species:S:1:pos:R:3 pbc="T T T"
Tb 0.0000 0.0000 0.0000
Be 2.5235 2.5235 2.5235
Be 4.1454 4.1454 2.5235
Be 4.1454 2.5235 4.1454
Be 2.5235 4.1454 4.1454
Tc 5.0016 5.0016 5.0016
```

Calculated volume = 74.1 Å³/cell
Uncorrected energy = -30.0 eV for the cell shown
Total moment = 1.18 μB per formula unit
Space group = F-43m (216)
Theoretical density = 6561 kg/m³


[7]
The following is a PBE-GGA calculation of a relaxed Ac2CeCd crystal, from Alexandria.

extended XYZ file:
```
4
Lattice="1.8443 1.0648 12.6027 -1.8443 1.0648 12.6027 0.0000 -2.1296 12.6027" Properties=species:S:1:pos:R:3 pbc="T T T"
Ac 0.0000 0.0000 3.5339
Ac 0.0000 0.0000 34.2742
Ce 0.0000 0.0000 0.0000
Cd 0.0000 0.0000 18.9041
```

Calculated volume = 148.5 Å³/cell
Uncorrected energy = -14.1 eV for the cell shown
Total moment = 1.45 μB per formula unit
Space group = R-3m (166)
Theoretical density = 7901 kg/m³


[8]
The following is a PBE-GGA calculation of a relaxed ScAlW2 crystal, from Alexandria.

extended XYZ file:
```
4
Lattice="1.5302 0.8835 8.8623 -1.5302 0.8835 8.8623 0.0000 -1.7670 8.8623" Properties=species:S:1:pos:R:3 pbc="T T T"
Sc 0.0000 0.0000 0.0000
Al 0.0000 0.0000 6.3715
W 0.0000 0.0000 13.0684
W 0.0000 0.0000 19.9953
```

Calculated volume = 71.9 Å³/cell
Uncorrected energy = -35.2 eV for the cell shown
Total moment = 0.00 μB per formula unit
Space group = R3m (160)
Theoretical density = 10155 kg/m³